18
Lattice="7.0048 0.0000 0.0000 0.0000 5.0772 -2.6100 0.0000 0.4415 7.1021" Properties=species:S:1:pos:R:3 comment="Si2Ge2Rh5, relaxed, DFT PBE" e_form_raw_kj_per_mol_fu=-480.9 vol_a3_per_atom=14.48 spacegroup="Cmce, No. 64" pbc="T T T"
Rh 3.5024 2.5386 -1.3050
Rh 2.2174 5.1770 -0.6662
Rh 0.0000 0.0000 0.0000
Rh 4.7875 0.3417 5.1583
Rh 1.2851 2.6384 0.6388
Rh 1.2851 1.4574 4.5847
Rh 5.7198 2.8803 3.8533
Rh 2.2174 3.9960 3.2797
Rh 5.7198 4.0613 -0.0926
Rh 4.7875 1.5227 1.2124
Si 4.5676 4.4144 -2.2693
Si 5.9396 1.8758 -0.9643
Si 1.0652 3.2014 -1.6457
Si 2.4372 0.6628 -0.3407
Ge 3.5024 1.7579 3.4195
Ge 0.0000 4.2964 2.1145
Ge 0.0000 1.2222 2.3776
Ge 3.5024 3.7608 1.0726